(1)
# Zr5Hg

Crystalline Zr5Hg at its relaxed geometry (GGA-PBE, Alexandria via LeMat-Bulk).

- Total energy: -7.23 eV per atom
- Calculated formation energy: -5.7 kJ per mole of atoms
- Total moment: 0.0 μB/f.u.

Lattice parameters (Å, degrees): 3.2003 3.2003 13.3434 90.00 90.00 90.00
Last column: nearest neighbours and their distance in Å.
Space group P4/mmm (No. 123)
One atom of each set of equivalent atoms:
Zr: 0.0000 0.0000 0.0000  12 Zr 3.19-3.20
Zr: 0.0000 0.0000 0.3373  4 Hg 3.14, 8 Zr 3.20
Zr: 0.5000 0.5000 0.1683  12 Zr 3.19-3.20
Hg: 0.5000 0.5000 0.5000  8 Zr 3.14, 4 Hg 3.20

=====

(2)
# ZrHg

Crystalline ZrHg at its relaxed geometry (GGA-PBE, Alexandria via LeMat-Bulk).

- Total energy: -4.33 eV per atom
- Calculated formation energy: 9.4 kJ per mole of atoms
- Total moment: 0.0 μB/f.u.

Lattice parameters (Å, degrees): 7.7113 8.6936 11.2892 90.00 90.00 90.00
Last column: nearest neighbours and their distance in Å.
Space group Fddd (No. 70, origin choice 2)
One atom of each set of equivalent atoms:
Zr: 0.1250 0.3088 0.1250  6 Hg 2.93-3.08, 1 Zr 3.20
Hg: 0.0556 0.3750 0.8750  1 Hg 2.78, 6 Zr 2.93-3.08

=====

(3)
# ZrHg3

Crystalline ZrHg3 at its relaxed geometry (GGA-PBE, Alexandria via LeMat-Bulk).

- Total energy: -2.19 eV per atom
- Calculated formation energy: 16.5 kJ per mole of atoms
- Total moment: 0.0 μB/f.u.

Lattice parameters (Å, degrees): 5.7063 5.7063 5.7063 90.00 90.00 90.00
Last column: nearest neighbours and their distance in Å.
Space group Pm-3n (No. 223)
One atom of each set of equivalent atoms:
Zr: 0.0000 0.0000 0.0000  12 Hg 3.19
Hg: 0.0000 0.2500 0.5000  2 Hg 2.85, 4 Zr 3.19

=====

(4)
# ZrHg3

Crystalline ZrHg3 at its relaxed geometry (GGA-PBE, Alexandria via LeMat-Bulk).

- Total energy: -2.41 eV per atom
- Calculated formation energy: -4.5 kJ per mole of atoms
- Total moment: 0.0 μB/f.u.

Lattice parameters (Å, degrees): 6.4467 6.4467 4.8652 90.00 90.00 120.00
Last column: nearest neighbours and their distance in Å.
Space group P6_3/mmc (No. 194)
One atom of each set of equivalent atoms:
Zr: 0.3333 0.6667 0.2500  12 Hg 3.05-3.22
Hg: 0.1689 0.3378 0.7500  4 Zr 3.05-3.22, 8 Hg 3.08-3.27

=====

(5)
# Zr2Hg

Crystalline Zr2Hg at its relaxed geometry (GGA-PBE, Alexandria via LeMat-Bulk).

- Total energy: -5.89 eV per atom
- Calculated formation energy: -9.0 kJ per mole of atoms
- Total moment: 0.0 μB/f.u.

Lattice parameters (Å, degrees): 3.3225 3.3225 7.3324 90.00 90.00 120.00
Last column: nearest neighbours and their distance in Å.
Space group P-3m1 (No. 164)
One atom of each set of equivalent atoms:
Zr: 0.3333 0.6667 0.1634  9 Zr 3.07-3.32, 3 Hg 3.13
Hg: 0.0000 0.0000 0.5000  6 Zr 3.13, 6 Hg 3.32

=====

(6)
# Zr3Hg

Crystalline Zr3Hg at its relaxed geometry (GGA-PBE, Alexandria via LeMat-Bulk).

- Total energy: -6.59 eV per atom
- Calculated formation energy: -9.8 kJ per mole of atoms
- Total moment: 0.0 μB/f.u.

Lattice parameters (Å, degrees): 3.2623 4.1002 6.6581 90.00 90.00 90.00
Last column: nearest neighbours and their distance in Å.
Space group Pmmm (No. 47)
One atom of each set of equivalent atoms:
Zr: 0.0000 0.0000 0.0000  10 Zr 3.11-3.26, 2 Hg 3.33
Zr: 0.5000 0.5000 0.2509  4 Hg 3.10, 8 Zr 3.11-3.34
Hg: 0.0000 0.0000 0.5000  10 Zr 3.10-3.33, 2 Hg 3.26

=====

(7)
# Zr3Hg5

Crystalline Zr3Hg5 at its relaxed geometry (GGA-PBE, Alexandria via LeMat-Bulk).

- Total energy: -3.42 eV per atom
- Calculated formation energy: -2.1 kJ per mole of atoms
- Total moment: 0.0 μB/f.u.

Lattice parameters (Å, degrees): 5.7481 8.2963 8.2990 86.35 71.77 71.91
Last column: nearest neighbours and their distance in Å.
Space group P1 (No. 1)
One atom of each set of equivalent atoms:
Zr: 0.0000 0.0000 0.0000  2 Zr 2.95-2.96, 8 Hg 2.97-3.19
Zr: 0.0034 0.5403 0.1449  8 Hg 2.95-3.21
Zr: 0.4975 0.5187 0.7937  8 Hg 2.95-3.21
Zr: 0.5015 0.0585 0.9376  2 Zr 2.95-2.96, 8 Hg 2.97-3.20
Zr: 0.5059 0.2047 0.4800  8 Hg 2.96-3.20
Zr: 0.9948 0.8542 0.4590  8 Hg 2.96-3.20
Hg: 0.0011 0.4913 0.5064  6 Hg 2.99-3.13, 4 Zr 3.00-3.08
Hg: 0.0943 0.1753 0.2814  3 Hg 3.00-3.13, 6 Zr 3.05-3.35
Hg: 0.1095 0.3378 0.8358  4 Hg 2.87-3.14, 5 Zr 2.95-3.19
Hg: 0.3912 0.7212 0.1031  4 Hg 2.87-3.14, 5 Zr 2.95-3.19
Hg: 0.4066 0.8833 0.6564  3 Hg 3.00-3.13, 6 Zr 3.05-3.34
Hg: 0.4998 0.5675 0.4319  6 Hg 2.99-3.13, 4 Zr 3.00-3.08
Hg: 0.5922 0.3420 0.1152  3 Hg 3.00-3.14, 6 Zr 3.04-3.34
Hg: 0.6081 0.8958 0.2771  4 Hg 2.87-3.13, 5 Zr 2.96-3.20
Hg: 0.8935 0.1634 0.6609  4 Hg 2.87-3.13, 5 Zr 2.96-3.19
Hg: 0.9083 0.7164 0.8233  3 Hg 3.00-3.14, 6 Zr 3.04-3.34

=====

(8)
# ZrHg3

Crystalline ZrHg3 at its relaxed geometry (GGA-PBE, Alexandria via LeMat-Bulk).

- Total energy: -2.36 eV per atom
- Calculated formation energy: 0.8 kJ per mole of atoms
- Total moment: 0.0 μB/f.u.

Lattice parameters (Å, degrees): 3.3637 4.8905 5.5153 90.00 90.00 90.00
Last column: nearest neighbours and their distance in Å.
Space group Pmm2 (No. 25)
One atom of each set of equivalent atoms:
Zr: 0.0000 0.0000 0.0000  10 Hg 3.04-3.24, 2 Zr 3.36
Hg: 0.0000 0.5000 0.6720  2 Zr 3.04, 10 Hg 3.11-3.36
Hg: 0.5000 0.0000 0.5014  8 Hg 3.08-3.36, 4 Zr 3.22-3.24
Hg: 0.5000 0.5000 0.1617  8 Hg 3.08-3.36, 4 Zr 3.10

=====

(9)
# Zr3Hg

Crystalline Zr3Hg at its relaxed geometry (GGA-PBE, Alexandria via LeMat-Bulk).

- Total energy: -6.52 eV per atom
- Calculated formation energy: -3.2 kJ per mole of atoms
- Total moment: 0.0 μB/f.u.

Lattice parameters (Å, degrees): 6.6368 8.4671 3.1832 90.00 90.00 90.00
Last column: nearest neighbours and their distance in Å.
Space group Cmmm (No. 65)
One atom of each set of equivalent atoms:
Zr: 0.0000 0.0000 0.0000  10 Zr 3.13-3.18, 2 Hg 3.32
Zr: 0.2500 0.2500 0.5000  8 Zr 3.13-3.32, 4 Hg 3.13
Hg: 0.0000 0.5000 0.0000  10 Zr 3.13-3.32, 2 Hg 3.18

=====

(10)
# Zr4Hg5

Crystalline Zr4Hg5 at its relaxed geometry (GGA-PBE, Alexandria via LeMat-Bulk).

- Total energy: -4.06 eV per atom
- Calculated formation energy: -9.5 kJ per mole of atoms
- Total moment: 0.0 μB/f.u.

Lattice parameters (Å, degrees): 11.0163 11.0163 3.2854 90.00 90.00 90.00
Last column: nearest neighbours and their distance in Å.
Space group I4/mmm (No. 139)
One atom of each set of equivalent atoms:
Zr: 0.1676 0.1676 0.0000  4 Zr 3.05-3.29, 6 Hg 3.05-3.09
Hg: 0.0000 0.0000 0.5000  8 Zr 3.09, 2 Hg 3.29
Hg: 0.0000 0.3300 0.5000  4 Zr 3.05, 6 Hg 3.12-3.29

=====

(11)
# Zr5Hg3

Crystalline Zr5Hg3 at its relaxed geometry (GGA-PBE, Alexandria via LeMat-Bulk).

- Total energy: -5.57 eV per atom
- Calculated formation energy: -11.3 kJ per mole of atoms
- Total moment: 0.0 μB/f.u.

Lattice parameters (Å, degrees): 8.5605 9.0592 4.5310 90.00 90.00 90.00
Last column: nearest neighbours and their distance in Å.
Space group Cmmm (No. 65)
One atom of each set of equivalent atoms:
Zr: 0.0000 0.0000 0.0000  8 Zr 3.12-3.15, 4 Hg 3.15
Zr: 0.2449 0.5000 0.5000  6 Hg 3.09-3.14, 6 Zr 3.15-3.20
Zr: 0.2500 0.2500 0.0000  6 Hg 3.12, 6 Zr 3.12-3.20
Hg: 0.0000 0.2417 0.5000  10 Zr 3.09-3.15, 2 Hg 3.26
Hg: 0.0000 0.5000 0.0000  8 Zr 3.09-3.12, 4 Hg 3.26

=====

(12)
# ZrHg3

Crystalline ZrHg3 at its relaxed geometry (GGA-PBE, Alexandria via LeMat-Bulk).

- Total energy: -2.31 eV per atom
- Calculated formation energy: 4.7 kJ per mole of atoms
- Total moment: 0.0 μB/f.u.

Lattice parameters (Å, degrees): 4.4898 4.4898 8.8120 90.00 90.00 90.00
Last column: nearest neighbours and their distance in Å.
Space group I4/mmm (No. 139)
One atom of each set of equivalent atoms:
Zr: 0.0000 0.0000 0.0000  12 Hg 3.15-3.17
Hg: 0.0000 0.0000 0.5000  8 Hg 3.15, 4 Zr 3.17
Hg: 0.0000 0.5000 0.2500  8 Hg 3.15-3.17, 4 Zr 3.15

=====

(13)
# Zr5Hg

Crystalline Zr5Hg at its relaxed geometry (GGA-PBE, Alexandria via LeMat-Bulk).

- Total energy: -7.22 eV per atom
- Calculated formation energy: -4.1 kJ per mole of atoms
- Total moment: 0.0 μB/f.u.

Lattice parameters (Å, degrees): 11.6723 3.1912 7.6245 90.00 105.59 90.00
Last column: nearest neighbours and their distance in Å.
Space group Cm (No. 8)
One atom of each set of equivalent atoms:
Zr: 0.0000 0.0000 0.0000  10 Zr 3.06-3.22, 2 Hg 3.27
Zr: 0.0311 0.0000 0.6138  9 Zr 3.06-3.27, 3 Hg 3.09-3.23
Zr: 0.1604 0.5000 0.3459  2 Hg 3.07, 10 Zr 3.14-3.30
Zr: 0.2171 0.5000 0.9442  2 Hg 3.11, 10 Zr 3.12-3.30
Zr: 0.3828 0.0000 0.2744  11 Zr 3.14-3.22, 1 Hg 3.28
Hg: 0.3155 0.0000 0.6659  10 Zr 3.07-3.28, 2 Hg 3.19